Record 1
# Sr3Br5 GGA-PBE relaxed
# Formation energy without anion corrections = -179.3 kJ per mole of atoms
# Magnetization = 0.0 μB per formula unit
# Volume = 539 Å³ per cell
# Crystal system = hexagonal
# Raw total energy = -3.534 eV per atom
data_Sr3Br5
_symmetry_space_group_name_H-M 'P 63/m c m'
_symmetry_Int_Tables_number 193
_symmetry_space_group_name_Hall '-P 6c 2'
_cell_length_a 8.9646
_cell_length_b 8.9646
_cell_length_c 7.7472
_cell_angle_alpha 90.00
_cell_angle_beta 90.00
_cell_angle_gamma 120.00
loop_
_atom_site_label
_atom_site_type_symbol
_atom_site_fract_x
_atom_site_fract_y
_atom_site_fract_z
Sr1 Sr 0.0000 0.3925 0.2500
Br1 Br 0.0000 0.2626 0.7500
Br2 Br 0.3333 0.6667 0.0000

Record 2
# Tb4ZnCo GGA-PBE relaxed
# Energy relative to the elements = -1.35 eV per formula unit
# Magnetization = 0.0 μB per formula unit
# Volume = 2336 Å³ per cell
# Crystal system = cubic
# Raw total energy = -4.708 eV per atom
data_Tb4ZnCo
_symmetry_space_group_name_H-M 'F -4 3 m'
_symmetry_Int_Tables_number 216
_symmetry_space_group_name_Hall 'F -4 2 3'
_cell_length_a 13.2691
_cell_length_b 13.2691
_cell_length_c 13.2691
_cell_angle_alpha 90.00
_cell_angle_beta 90.00
_cell_angle_gamma 90.00
loop_
_atom_site_label
_atom_site_type_symbol
_atom_site_fract_x
_atom_site_fract_y
_atom_site_fract_z
Tb1 Tb 0.0000 0.0000 0.1878
Tb2 Tb 0.0592 0.2500 0.7500
Tb3 Tb 0.1000 0.1000 0.4000
Zn1 Zn 0.1727 0.1727 0.1727
Co1 Co 0.1084 0.1084 0.6084

Record 3
# Tb3Dy2Y6In GGA-PBE relaxed
# Energy relative to the elements = -0.49 eV per formula unit
# Magnetization = 0.0 μB per formula unit
# Volume = 744 Å³ per cell
# Crystal system = monoclinic
# Raw total energy = -5.426 eV per atom
data_Tb3Dy2Y6In
_symmetry_space_group_name_H-M 'C 1 2/m 1'
_symmetry_Int_Tables_number 12
_cell_length_a 6.1145
_cell_length_b 10.5992
_cell_length_c 11.6655
_cell_angle_alpha 90.00
_cell_angle_beta 100.13
_cell_angle_gamma 90.00
loop_
_symmetry_equiv_pos_as_xyz
'x,y,z'
'-x,-y,-z'
'-x,y,-z'
'x,-y,z'
'x+1/2,y+1/2,z'
'-x+1/2,-y+1/2,-z'
'-x+1/2,y+1/2,-z'
'x+1/2,-y+1/2,z'
loop_
_atom_site_label
_atom_site_type_symbol
_atom_site_fract_x
_atom_site_fract_y
_atom_site_fract_z
Tb1 Tb 0.0000 0.0000 0.0000
Tb2 Tb 0.0000 0.3334 0.0000
Dy1 Dy 0.0000 0.1661 0.5000
Y1 Y 0.2451 0.3361 0.7458
Y2 Y 0.2466 0.5000 0.2530
In1 In 0.0000 0.5000 0.5000

Record 4
# CuPtSe2 GGA-PBE relaxed
# Formation energy without anion corrections = -6.8 kJ per mole of atoms
# Magnetization = 0.0 μB per formula unit
# Volume = 353 Å³ per cell
# Crystal system = tetragonal
# Raw total energy = -4.347 eV per atom
data_CuPtSe2
_symmetry_space_group_name_H-M 'I -4 2 d'
_symmetry_Int_Tables_number 122
_symmetry_space_group_name_Hall 'I -4 2bw'
_cell_length_a 5.5832
_cell_length_b 5.5832
_cell_length_c 11.3122
_cell_angle_alpha 90.00
_cell_angle_beta 90.00
_cell_angle_gamma 90.00
loop_
_atom_site_label
_atom_site_type_symbol
_atom_site_fract_x
_atom_site_fract_y
_atom_site_fract_z
Cu1 Cu 0.0000 0.0000 0.0000
Pt1 Pt 0.0000 0.0000 0.5000
Se1 Se 0.2423 0.2500 0.1250

Record 5
# TmGaRuRh GGA-PBE relaxed
# Energy relative to the elements = -2.45 eV per formula unit
# Magnetization = 0.0 μB per formula unit
# Volume = 261 Å³ per cell
# Crystal system = cubic
# Raw total energy = -6.643 eV per atom
data_TmGaRuRh
_symmetry_space_group_name_H-M 'F -4 3 m'
_symmetry_Int_Tables_number 216
_symmetry_space_group_name_Hall 'F -4 2 3'
_cell_length_a 6.3910
_cell_length_b 6.3910
_cell_length_c 6.3910
_cell_angle_alpha 90.00
_cell_angle_beta 90.00
_cell_angle_gamma 90.00
loop_
_atom_site_label
_atom_site_type_symbol
_atom_site_fract_x
_atom_site_fract_y
_atom_site_fract_z
Tm1 Tm 0.0000 0.0000 0.0000
Ga1 Ga 0.0000 0.0000 0.5000
Ru1 Ru 0.2500 0.2500 0.2500
Rh1 Rh 0.2500 0.2500 0.7500

Record 6
# Ce2SiPt6 GGA-PBE relaxed
# Formation energy without anion corrections = -98.9 kJ per mole of atoms
# Magnetization = 1.0 μB per formula unit
# Volume = 166 Å³ per cell
# Crystal system = trigonal
# Raw total energy = -6.974 eV per atom
data_Ce2SiPt6
_symmetry_space_group_name_H-M 'P -3 m 1'
_symmetry_Int_Tables_number 164
_symmetry_space_group_name_Hall '-P 3 2"'
_cell_length_a 5.7002
_cell_length_b 5.7002
_cell_length_c 5.8827
_cell_angle_alpha 90.00
_cell_angle_beta 90.00
_cell_angle_gamma 120.00
loop_
_atom_site_label
_atom_site_type_symbol
_atom_site_fract_x
_atom_site_fract_y
_atom_site_fract_z
Ce1 Ce 0.3333 0.6667 0.3303
Si1 Si 0.0000 0.0000 0.5000
Pt1 Pt 0.1709 0.3417 0.8019

Record 7
# LiMnAu4 GGA-PBE relaxed
# Energy relative to the elements = -0.17 eV per formula unit
# Magnetization = 4.4 μB per formula unit
# Volume = 464 Å³ per cell
# Crystal system = cubic
# Raw total energy = -4.060 eV per atom
data_LiMnAu4
_symmetry_space_group_name_H-M 'F -4 3 m'
_symmetry_Int_Tables_number 216
_symmetry_space_group_name_Hall 'F -4 2 3'
_cell_length_a 7.7397
_cell_length_b 7.7397
_cell_length_c 7.7397
_cell_angle_alpha 90.00
_cell_angle_beta 90.00
_cell_angle_gamma 90.00
loop_
_atom_site_label
_atom_site_type_symbol
_atom_site_fract_x
_atom_site_fract_y
_atom_site_fract_z
Li1 Li 0.0000 0.0000 0.0000
Mn1 Mn 0.2500 0.2500 0.7500
Au1 Au 0.1250 0.1250 0.3750

Record 8
# Cd2SiHg GGA-PBE relaxed
# Formation energy without anion corrections = 25.9 kJ per mole of atoms
# Magnetization = 0.0 μB per formula unit
# Volume = 89 Å³ per cell
# Crystal system = monoclinic
# Raw total energy = -1.620 eV per atom
data_Cd2SiHg
_symmetry_space_group_name_H-M 'P 1 m 1'
_symmetry_Int_Tables_number 6
_cell_length_a 2.9089
_cell_length_b 3.7583
_cell_length_c 8.2367
_cell_angle_alpha 90.00
_cell_angle_beta 99.36
_cell_angle_gamma 90.00
loop_
_symmetry_equiv_pos_as_xyz
'x,y,z'
'x,-y,z'
loop_
_atom_site_label
_atom_site_type_symbol
_atom_site_fract_x
_atom_site_fract_y
_atom_site_fract_z
Cd1 Cd 0.0000 0.0000 0.0000
Cd2 Cd 0.3697 0.5000 0.7303
Si1 Si 0.7667 0.0000 0.5180
Hg1 Hg 0.6459 0.5000 0.2655

Record 9
# LaPbSe2N GGA-PBE relaxed
# Formation energy without anion corrections = -5.6 kJ per mole of atoms
# Magnetization = 0.4 μB per formula unit
# Volume = 127 Å³ per cell
# Crystal system = tetragonal
# Raw total energy = -4.844 eV per atom
data_LaPbSe2N
_symmetry_space_group_name_H-M 'P 4/m m m'
_symmetry_Int_Tables_number 123
_symmetry_space_group_name_Hall '-P 4 2'
_cell_length_a 5.4598
_cell_length_b 5.4598
_cell_length_c 4.2606
_cell_angle_alpha 90.00
_cell_angle_beta 90.00
_cell_angle_gamma 90.00
loop_
_atom_site_label
_atom_site_type_symbol
_atom_site_fract_x
_atom_site_fract_y
_atom_site_fract_z
La1 La 0.0000 0.0000 0.0000
Pb1 Pb 0.5000 0.5000 0.5000
Se1 Se 0.0000 0.5000 0.5000
N1 N 0.5000 0.5000 0.0000

Record 10
# CePrTeO2 GGA-PBE relaxed
# Formation energy without anion corrections = -274.1 kJ per mole of atoms
# Magnetization = 1.0 μB per formula unit
# Volume = 216 Å³ per cell
# Crystal system = tetragonal
# Raw total energy = -7.595 eV per atom
data_CePrTeO2
_symmetry_space_group_name_H-M 'I 4 m m'
_symmetry_Int_Tables_number 107
_symmetry_space_group_name_Hall 'I 4 -2'
_cell_length_a 4.0750
_cell_length_b 4.0750
_cell_length_c 12.9804
_cell_angle_alpha 90.00
_cell_angle_beta 90.00
_cell_angle_gamma 90.00
loop_
_atom_site_label
_atom_site_type_symbol
_atom_site_fract_x
_atom_site_fract_y
_atom_site_fract_z
Ce1 Ce 0.0000 0.0000 0.0000
Pr1 Pr 0.0000 0.0000 0.3161
Te1 Te 0.0000 0.0000 0.6597
O1 O 0.0000 0.5000 0.4111

Record 11
# Hg5Te4S GGA-PBE relaxed
# Formation energy without anion corrections = -13.3 kJ per mole of atoms
# Magnetization = 0.0 μB per formula unit
# Volume = 1041 Å³ per cell
# Crystal system = trigonal
# Raw total energy = -1.959 eV per atom
data_Hg5Te4S
_symmetry_space_group_name_H-M 'R 3 m'
_symmetry_Int_Tables_number 160
_symmetry_space_group_name_Hall 'R 3 -2"'
_cell_length_a 4.6145
_cell_length_b 4.6145
_cell_length_c 56.4508
_cell_angle_alpha 90.00
_cell_angle_beta 90.00
_cell_angle_gamma 120.00
loop_
_atom_site_label
_atom_site_type_symbol
_atom_site_fract_x
_atom_site_fract_y
_atom_site_fract_z
Hg1 Hg 0.0000 0.0000 0.0000
Hg2 Hg 0.0000 0.0000 0.1954
Hg3 Hg 0.0000 0.0000 0.4021
Hg4 Hg 0.0000 0.0000 0.5977
Hg5 Hg 0.0000 0.0000 0.7931
Te1 Te 0.0000 0.0000 0.0505
Te2 Te 0.0000 0.0000 0.2461
Te3 Te 0.0000 0.0000 0.6483
Te4 Te 0.0000 0.0000 0.8440
S1 S 0.0000 0.0000 0.4480

Record 12
# YBe2Ni2 GGA-PBE relaxed
# Energy relative to the elements = -0.37 eV per formula unit
# Magnetization = 0.0 μB per formula unit
# Volume = 129 Å³ per cell
# Crystal system = tetragonal
# Raw total energy = -5.170 eV per atom
data_YBe2Ni2
_symmetry_space_group_name_H-M 'P 4/m b m'
_symmetry_Int_Tables_number 127
_symmetry_space_group_name_Hall '-P 4 2ab'
_cell_length_a 6.8433
_cell_length_b 6.8433
_cell_length_c 2.7646
_cell_angle_alpha 90.00
_cell_angle_beta 90.00
_cell_angle_gamma 90.00
loop_
_atom_site_label
_atom_site_type_symbol
_atom_site_fract_x
_atom_site_fract_y
_atom_site_fract_z
Y1 Y 0.0000 0.0000 0.0000
Be1 Be 0.1317 0.3683 0.5000
Ni1 Ni 0.1394 0.6394 0.0000

- The lowest raw total energy belongs to which entry?
  CePrTeO2

- Number 8 is which compound?
  Cd2SiHg

What did the fifth record say?
# TmGaRuRh GGA-PBE relaxed
# Energy relative to the elements = -2.45 eV per formula unit
# Magnetization = 0.0 μB per formula unit
# Volume = 261 Å³ per cell
# Crystal system = cubic
# Raw total energy = -6.643 eV per atom
data_TmGaRuRh
_symmetry_space_group_name_H-M 'F -4 3 m'
_symmetry_Int_Tables_number 216
_symmetry_space_group_name_Hall 'F -4 2 3'
_cell_length_a 6.3910
_cell_length_b 6.3910
_cell_length_c 6.3910
_cell_angle_alpha 90.00
_cell_angle_beta 90.00
_cell_angle_gamma 90.00
loop_
_atom_site_label
_atom_site_type_symbol
_atom_site_fract_x
_atom_site_fract_y
_atom_site_fract_z
Tm1 Tm 0.0000 0.0000 0.0000
Ga1 Ga 0.0000 0.0000 0.5000
Ru1 Ru 0.2500 0.2500 0.2500
Rh1 Rh 0.2500 0.2500 0.7500